Compound: Mg8Ir
Source: Alexandria via LeMat-Bulk
Functional: GGA-PBE
Structure: relaxed

Results
Raw total energy   -2.49 eV/atom
D(E_F)   0.43 states/eV/atom
Energy relative to the elements   -0.09 eV per atom

Geometry as POSCAR:
```
Mg8Ir
1.0
-4.956 4.956 1.869
4.956 -4.956 1.869
4.956 4.956 -1.869
Mg Ir
8 1
direct
0.000 0.327 0.327
0.000 0.673 0.673
0.327 0.000 0.327
0.351 0.351 0.702
0.351 0.649 0.000
0.649 0.351 0.000
0.649 0.649 0.298
0.673 0.000 0.673
0.000 0.000 0.000
```

=====

Compound: ScSb2Ir2
Source: Alexandria via LeMat-Bulk
Functional: GGA-PBE
Structure: relaxed

Results
E_form (uncorrected)   -0.181 eV/atom
Raw total energy   -6.64 eV/atom
D(E_F)   0.62 states/eV/atom

Geometry as POSCAR:
```
ScSb2Ir2
1.0
-2.371 2.371 4.748
2.371 -2.371 4.748
2.371 2.371 -4.748
Sc Sb Ir
1 2 2
direct
0.000 0.000 0.000
0.250 0.750 0.500
0.750 0.250 0.500
0.366 0.366 0.000
0.634 0.634 0.000
```